Entry from Alexandria: a relaxed structure of BaTaMo2 (GGA-PBEsol).

Lattice parameters (Å, degrees): 3.975 3.975 5.656 110.57 110.57 90.00
Element x y z (fractional)
1 Ta 0.500 0.500 0.000
2 Ba 0.250 0.750 0.500
3 Mo 0.750 0.250 0.500
4 Mo 0.000 0.000 0.000

## Properties
ΔH_f (0 K) ... 1.416 eV/atom

Entry from Alexandria: a relaxed structure of Ba2TcMo (GGA-PBEsol).

Lattice parameters (Å, degrees): 2.973 5.501 5.927 90.00 90.00 90.00
Element x y z (fractional)
1 Ba 0.000 0.000 0.749
2 Mo 0.500 0.500 0.000
3 Tc 0.500 0.500 0.500
4 Ba 0.000 0.000 0.251

## Properties
ΔH_f (0 K) ... 1.508 eV/atom

Entry from Alexandria: a relaxed structure of BaTcMo (GGA-PBEsol).

Lattice parameters (Å, degrees): 4.500 4.500 4.500 60.00 60.00 60.00
Element x y z (fractional)
1 Tc 0.500 0.500 0.500
2 Mo 0.000 0.000 0.000
3 Ba 0.250 0.250 0.250

## Properties
ΔH_f (0 K) ... 2.556 eV/atom

Entry from Alexandria: a relaxed structure of BaTc3Mo (GGA-PBEsol).

Lattice parameters (Å, degrees): 4.769 4.769 4.769 90.00 90.00 90.00
Each line ends with the local moment (μB).
Element x y z (fractional)
1 Tc 0.500 0.000 0.000  0.77
2 Tc 0.000 0.000 0.500  0.77
3 Mo 0.000 0.000 0.000  -0.16
4 Tc 0.000 0.500 0.000  0.77
5 Ba 0.500 0.500 0.500  0.03

## Properties
ΔH_f (0 K) ... 1.386 eV/atom

Entry from Alexandria: a relaxed structure of BaTeMo2 (GGA-PBEsol).

Lattice parameters (Å, degrees): 3.523 5.239 5.958 100.49 90.00 109.65
Element x y z (fractional)
1 Mo 0.266 0.532 0.369
2 Mo 0.734 0.468 0.631
3 Te 0.000 0.000 0.500
4 Ba 0.500 0.000 0.000

Entry from Alexandria: a relaxed structure of BaTeMo2 (GGA-PBEsol).

Lattice parameters (Å, degrees): 4.976 4.992 4.976 60.11 90.00 119.89
Element x y z (fractional)
1 Mo 0.000 0.000 0.000
2 Mo 0.250 0.500 0.250
3 Ba 0.750 0.500 0.750
4 Te 0.500 0.000 0.500

Entry from Alexandria: a relaxed structure of BaTe3Mo (GGA-PBEsol).

Lattice parameters (Å, degrees): 5.375 5.375 5.375 90.00 90.00 90.00
Each line ends with the local moment (μB).
Element x y z (fractional)
1 Mo 0.000 0.000 0.000  1.05
2 Te 0.000 0.500 0.000  0.01
3 Te 0.500 0.000 0.000  0.01
4 Ba 0.500 0.500 0.500  0.03
5 Te 0.000 0.000 0.500  0.01

Entry from Alexandria: a relaxed structure of Ba2TeMo (GGA-PBEsol).

Lattice parameters (Å, degrees): 4.852 4.852 6.902 90.00 90.00 90.00
Each line ends with the local moment (μB).
Element x y z (fractional)
1 Te 0.500 0.500 0.875  0.03
2 Ba 0.000 0.000 0.875  0.01
3 Ba 0.500 0.500 0.375  0.02
4 Mo 0.000 0.000 0.375  3.48

| no. | total energy (eV per atom) | density of states at the Fermi level (states/eV per cell) |
| --- | --- | --- |
| 1 | -8.14 | 4.16 |
| 2 | -5.33 | 4.43 |
| 3 | -5.84 | 4.62 |
| 4 | -8.16 | 4.48 |
| 5 | -6.86 | 3.00 |
| 6 | -6.31 | 3.38 |
| 7 | -5.28 | 5.96 |
| 8 | -4.55 | 2.24 |